No. 1
Dy4AlPd: relaxed, PBE.

## Properties
Excess energy over the best structure of this formula in the dataset in meV/atom: 0
Density of states at the Fermi level in states/eV per cell: 20.1
Formation enthalpy at 0 K in eV per atom: -0.476

Unit cell a=9.597 b=9.597 c=9.597 alpha=60.00 beta=60.00 gamma=60.00
Atoms (fractional coordinates):
Al 0.172 0.483 0.172
Al 0.172 0.172 0.483
Al 0.483 0.172 0.172
Al 0.172 0.172 0.172
Dy 0.394 0.394 0.394
Dy 0.185 0.815 0.185
Dy 0.815 0.185 0.815
Dy 0.943 0.943 0.557
Dy 0.185 0.185 0.815
Dy 0.943 0.557 0.943
Dy 0.557 0.943 0.557
Dy 0.394 0.394 0.818
Dy 0.815 0.185 0.185
Dy 0.818 0.394 0.394
Dy 0.557 0.557 0.943
Dy 0.557 0.943 0.943
Dy 0.394 0.818 0.394
Dy 0.943 0.557 0.557
Dy 0.815 0.815 0.185
Dy 0.185 0.815 0.815
Pd 0.605 0.605 0.185
Pd 0.605 0.605 0.605
Pd 0.185 0.605 0.605
Pd 0.605 0.185 0.605

---

No. 2
Te4PAu: relaxed, PBE.

## Properties
Density of states at the Fermi level in states/eV per cell: 5.0
Formation energy from raw total energies in meV/atom: 909

Unit cell a=6.196 b=6.196 c=6.196 alpha=60.00 beta=60.00 gamma=60.00
Each line ends with the local moment (μB).
Atoms (fractional coordinates):
P 0.000 0.000 0.000  0.22
Te 0.374 0.877 0.374  -0.02
Te 0.877 0.374 0.374  -0.02
Te 0.374 0.374 0.374  -0.02
Te 0.374 0.374 0.877  -0.02
Au 0.750 0.750 0.750  0.00

---

No. 3
GaRePt3: relaxed, PBE.

## Properties
Excess energy over the best structure of this formula in the dataset in meV/atom: 121
Density of states at the Fermi level in states/eV per cell: 3.7
Formation enthalpy at 0 K in eV per atom: 1.168

Unit cell a=4.588 b=4.588 c=4.588 alpha=90.00 beta=90.00 gamma=90.00
Each line ends with the local moment (μB).
Atoms (fractional coordinates):
Pt 0.000 0.500 0.000  0.09
Pt 0.000 0.000 0.500  0.09
Pt 0.500 0.000 0.000  0.19
Re 0.500 0.500 0.500  3.20
Ga 0.000 0.000 0.000  -0.01

---

No. 4
Te2Au: relaxed, PBE.

## Properties
Density of states at the Fermi level in states/eV per cell: 2.7
Formation energy from raw total energies in meV/atom: 326

Unit cell a=8.538 b=8.538 c=8.538 alpha=158.76 beta=158.76 gamma=30.21
Atoms (fractional coordinates):
Au 0.500 0.500 0.000
Te 0.141 0.141 0.000
Te 0.859 0.859 0.000

---

No. 5
Tl2CdRe: relaxed, PBE.

## Properties
Excess energy over the best structure of this formula in the dataset in meV/atom: 171
Density of states at the Fermi level in states/eV per cell: 3.1
Formation enthalpy at 0 K in eV per atom: 0.822

Unit cell a=5.136 b=2.994 c=5.905 alpha=73.06 beta=90.00 gamma=90.00
Atoms (fractional coordinates):
Cd 0.000 0.556 0.539
Tl 0.000 0.817 0.998
Tl 0.500 0.219 0.230
Re 0.500 0.909 0.733

---

No. 6
SiSn: relaxed, PBE.

## Properties
Density of states at the Fermi level in states/eV per cell: 3.9
Formation energy from raw total energies in meV/atom: 216

Unit cell a=3.755 b=3.755 c=22.259 alpha=90.00 beta=90.00 gamma=120.00
Atoms (fractional coordinates):
Si 0.333 0.667 0.024
Si 0.000 0.000 0.643
Si 0.667 0.333 0.691
Si 0.000 0.000 0.357
Si 0.333 0.667 0.309
Si 0.667 0.333 0.976
Sn 0.333 0.667 0.554
Sn 0.333 0.667 0.779
Sn 0.667 0.333 0.221
Sn 0.000 0.000 0.887
Sn 0.667 0.333 0.446
Sn 0.000 0.000 0.113

---

No. 7
KTl3S2: relaxed, PBE.

## Properties
Formation energy from raw total energies in meV/atom: -486

Unit cell a=4.319 b=8.454 c=11.324 alpha=92.51 beta=90.00 gamma=104.80
Atoms (fractional coordinates):
Tl 0.607 0.215 0.075
Tl 0.348 0.696 0.503
Tl 0.986 0.972 0.662
Tl 0.393 0.785 0.925
Tl 0.652 0.304 0.497
Tl 0.014 0.028 0.338
K 0.190 0.379 0.786
K 0.810 0.621 0.214
S 0.800 0.601 0.663
S 0.458 0.916 0.171
S 0.200 0.399 0.337
S 0.542 0.084 0.829

---

No. 8
NdDyInPd: relaxed, PBE.

## Properties
Density of states at the Fermi level in states/eV per cell: 3.7
Formation enthalpy at 0 K in eV per atom: -0.557

Unit cell a=5.247 b=5.247 c=5.247 alpha=60.00 beta=60.00 gamma=60.00
Atoms (fractional coordinates):
In 0.000 0.000 0.000
Pd 0.500 0.500 0.500
Nd 0.250 0.250 0.250
Dy 0.750 0.750 0.750

---

No. 9
YTe3Mo: relaxed, PBE.

## Properties
Excess energy over the best structure of this formula in the dataset in meV/atom: 0
Density of states at the Fermi level in states/eV per cell: 4.5
Formation energy from raw total energies in meV/atom: 75

Unit cell a=5.354 b=5.354 c=5.354 alpha=90.00 beta=90.00 gamma=90.00
Each line ends with the local moment (μB).
Atoms (fractional coordinates):
Te 0.000 0.500 0.000  0.00
Te 0.000 0.000 0.500  -0.01
Te 0.500 0.000 0.000  0.03
Y 0.500 0.500 0.500  0.22
Mo 0.000 0.000 0.000  1.79

---

No. 10
YMg2Fe: relaxed, PBE.

## Properties
Density of states at the Fermi level in states/eV per cell: 5.6
Formation enthalpy at 0 K in eV per atom: 0.235

Unit cell a=5.634 b=5.634 c=5.634 alpha=142.57 beta=126.31 gamma=67.28
Each line ends with the local moment (μB).
Atoms (fractional coordinates):
Mg 0.759 0.259 0.500  -0.01
Mg 0.030 0.030 0.000  -0.02
Fe 0.240 0.740 0.500  2.39
Y 0.471 0.471 0.000  -0.21

---

No. 11
Rb2YSbI6: relaxed, PBE.

## Properties
Density of states at the Fermi level in states/eV per cell: 0.0
Formation energy from raw total energies in meV/atom: -973

Unit cell a=8.549 b=8.549 c=9.352 alpha=62.80 beta=62.80 gamma=90.00
Atoms (fractional coordinates):
I 0.712 0.712 0.575
I 0.250 0.750 0.000
I 0.288 0.288 0.425
I 0.750 0.750 0.000
I 0.750 0.250 0.000
I 0.250 0.250 0.000
Y 0.500 0.500 0.000
Sb 0.000 0.000 0.000
Rb 0.750 0.250 0.500
Rb 0.250 0.750 0.500

---

No. 12
AcEuCoIr: relaxed, PBE.

## Properties
Density of states at the Fermi level in states/eV per cell: 7.1
Formation enthalpy at 0 K in eV per atom: -0.068

Unit cell a=5.092 b=5.092 c=5.092 alpha=60.00 beta=60.00 gamma=60.00
Each line ends with the local moment (μB).
Atoms (fractional coordinates):
Co 0.500 0.500 0.500  -1.38
Ac 0.250 0.250 0.250  0.10
Ir 0.000 0.000 0.000  -0.27
Eu 0.750 0.750 0.750  6.78

---

no.,raw total energy (Ha/atom)
1,-0.18498
2,-0.09677
3,-0.20400
4,-0.10515
5,-0.13604
6,-0.16525
7,-0.11862
8,-0.17941
9,-0.19363
10,-0.15780
11,-0.11594
12,-0.28132